## w
Entry from Alexandria via LeMat-Bulk: a relaxed CdP crystal (PBE).

Geometry as extended XYZ:
```
4
Lattice="1.681 0.971 8.363 -1.681 0.971 8.363 0.000 -1.941 8.363" Properties=species:S:1:pos:R:3 pbc="T T T"
Cd 0.000 0.000 2.973
Cd 0.000 0.000 22.115
P 0.000 0.000 8.978
P 0.000 0.000 16.110
```

Results
- Space group: R-3m


## x
Entry from Alexandria via LeMat-Bulk: a relaxed CdP crystal (PBE).

Geometry as extended XYZ:
```
4
Lattice="3.265 0.000 0.000 0.000 4.246 0.000 0.000 0.000 6.980" Properties=species:S:1:pos:R:3 pbc="T T T"
Cd 0.816 0.000 1.194
Cd 2.449 0.000 5.786
P 0.816 2.123 2.766
P 2.449 2.123 4.214
```

Results
- Space group: Pmma


Stability check: which of them is most stable? x.


## w
Entry from Alexandria via LeMat-Bulk: a relaxed Sr3Li2 crystal (PBE).

Geometry as extended XYZ:
```
5
Lattice="5.928 0.000 0.000 -2.964 5.134 0.000 0.000 0.000 7.251" Properties=species:S:1:pos:R:3 pbc="T T T"
Sr 0.000 0.000 0.000
Sr 0.000 3.423 2.481
Sr 2.964 1.711 4.770
Li 0.000 3.423 6.233
Li 2.964 1.711 1.018
```

Results
- Space group: P-3m1


## x
Entry from Alexandria via LeMat-Bulk: a relaxed Sr3Li2 crystal (PBE).

Geometry as extended XYZ:
```
10
Lattice="4.020 2.321 7.776 -4.020 2.321 7.776 0.000 -4.642 7.776" Properties=species:S:1:pos:R:3 pbc="T T T"
Sr -2.327 0.612 9.720
Sr -1.693 -1.710 13.608
Sr 0.634 -2.321 9.720
Sr -0.634 2.321 13.608
Sr 1.693 1.710 9.720
Sr 2.327 -0.612 13.608
Li 0.000 0.000 4.473
Li 0.000 0.000 7.192
Li 0.000 0.000 16.137
Li 0.000 0.000 18.856
```

Results
- Space group: R-3c


Stability check: which of them is most stable? w.


## w
Entry from Alexandria via LeMat-Bulk: a relaxed Sr2TcPt crystal (PBE).

Geometry as extended XYZ:
```
4
Lattice="0.000 3.735 3.735 3.735 0.000 3.735 3.735 3.735 0.000" Properties=species:S:1:pos:R:3 pbc="T T T"
Sr 1.867 1.867 1.867
Sr 5.602 5.602 5.602
Tc 0.000 0.000 0.000
Pt 3.735 3.735 3.735
```

Results
- Space group: Fm-3m


## x
Entry from Alexandria via LeMat-Bulk: a relaxed Sr2TcPt crystal (PBE).

Geometry as extended XYZ:
```
4
Lattice="2.205 1.273 8.056 -2.205 1.273 8.056 0.000 -2.547 8.056" Properties=species:S:1:pos:R:3 pbc="T T T"
Sr 0.000 0.000 0.000
Sr 0.000 0.000 4.128
Tc 0.000 0.000 10.110
Pt 0.000 0.000 18.187
```

Results
- Space group: R3m


Stability check: which of them is most stable? x.